4
Lattice="2.900 0.000 0.000 0.000 2.900 0.000 0.000 0.000 8.377" Properties=species:S:1:pos:R:3 comment="TiNbCdPd PBE relaxed" sg="No. 99" formation_enthalpy_0k_mev_per_atom=-217 dos_ef_per_ev_fu=3.93 mass_density_kg_m3=8474 m_tot_mub_per_cell=0.00 pbc="T T T"
Ti 0.000 0.000 0.000
Nb 1.450 1.450 6.263
Cd 0.000 0.000 3.886
Pd 1.450 1.450 1.793

=====

8
Lattice="4.631 0.000 0.000 0.000 5.237 0.000 0.000 0.000 7.435" Properties=species:S:1:pos:R:3 comment="ZnTe2Rh PBE relaxed" sg="No. 38" dos_ef_per_ev_fu=2.28 mass_density_kg_m3=7800 m_tot_mub_per_cell=0.00 e_form_raw_ev_per_atom=-0.18 pbc="T T T"
Zn 0.000 0.000 0.000
Zn 0.000 2.619 3.717
Te 0.000 0.000 2.744
Te 0.000 2.619 6.462
Te 2.316 0.000 5.919
Te 2.316 2.619 2.202
Rh 2.316 0.000 1.343
Rh 2.316 2.619 5.060

=====

5
Lattice="5.086 0.000 0.000 0.000 5.086 0.000 0.000 0.000 3.627" Properties=species:S:1:pos:R:3 comment="ZrGaSe2N PBE relaxed" sg="No. 123" dos_ef_per_ev_fu=3.80 mass_density_kg_m3=5891 m_tot_mub_per_cell=0.44 de_polymorph_mev_per_atom=352 e_form_raw_ev_per_atom=0.19 pbc="T T T"
Zr 0.000 0.000 0.000
Ga 2.543 2.543 1.814
Se 0.000 2.543 1.814
Se 2.543 0.000 1.814
N 2.543 2.543 0.000

=====

10
Lattice="9.328 0.000 0.000 0.000 5.775 0.000 -3.768 0.000 4.584" Properties=species:S:1:pos:R:3 comment="CsPH2C PBE relaxed" sg="No. 5" mass_density_kg_m3=2393 m_tot_mub_per_cell=0.00 de_polymorph_mev_per_atom=5 pbc="T T T"
Cs 0.000 0.000 0.000
Cs 4.664 2.888 0.000
P -1.884 3.605 2.292
P 2.780 0.717 2.292
H -1.205 1.289 2.897
H 2.101 4.177 1.687
H 3.459 4.177 2.897
H 6.765 1.289 1.687
C -1.884 1.920 2.292
C 2.780 4.808 2.292

=====

10
Lattice="4.243 0.000 0.000 0.000 4.243 0.000 0.000 0.000 13.609" Properties=species:S:1:pos:R:3 comment="NaTe2Pt2 PBE relaxed" sg="No. 139" dos_ef_per_ev_fu=4.27 mass_density_kg_m3=9059 m_tot_mub_per_cell=0.00 e_form_raw_ev_per_atom=-0.25 pbc="T T T"
Na 0.000 0.000 0.000
Na 2.122 2.122 6.804
Te 0.000 0.000 5.097
Te 0.000 0.000 8.512
Te 2.122 2.122 1.708
Te 2.122 2.122 11.901
Pt 0.000 2.122 3.402
Pt 0.000 2.122 10.207
Pt 2.122 0.000 3.402
Pt 2.122 0.000 10.207

=====

5
Lattice="5.197 0.000 0.000 0.000 5.197 0.000 0.000 0.000 4.849" Properties=species:S:1:pos:R:3 comment="Pr2TmInC PBE relaxed" sg="No. 123" formation_enthalpy_0k_mev_per_atom=-351 dos_ef_per_ev_fu=2.32 mass_density_kg_m3=7324 m_tot_mub_per_cell=0.00 pbc="T T T"
Pr 0.000 2.599 0.000
Pr 2.599 0.000 0.000
Tm 0.000 0.000 2.424
In 2.599 2.599 2.424
C 0.000 0.000 0.000

=====

14
Lattice="5.269 0.000 0.000 0.000 5.269 0.000 0.000 0.000 21.365" Properties=species:S:1:pos:R:3 comment="Ca4Ac2Ni PBE relaxed" sg="No. 139" formation_enthalpy_0k_mev_per_atom=186 dos_ef_per_ev_fu=7.57 mass_density_kg_m3=3769 m_tot_mub_per_cell=0.00 pbc="T T T"
Ca 0.000 0.000 2.724
Ca 0.000 0.000 18.641
Ca 0.000 2.634 0.000
Ca 0.000 2.634 10.683
Ca 2.634 0.000 0.000
Ca 2.634 0.000 10.683
Ca 2.634 2.634 7.959
Ca 2.634 2.634 13.406
Ac 0.000 0.000 6.539
Ac 0.000 0.000 14.827
Ac 2.634 2.634 4.144
Ac 2.634 2.634 17.221
Ni 0.000 0.000 0.000
Ni 2.634 2.634 10.683

=====

16
Lattice="14.482 0.000 0.000 0.000 14.482 0.000 0.000 0.000 3.790" Properties=species:S:1:pos:R:3 comment="BaLa PBE relaxed" sg="No. 87" formation_enthalpy_0k_mev_per_atom=348 dos_ef_per_ev_fu=3.58 mass_density_kg_m3=4617 m_tot_mub_per_cell=0.00 de_polymorph_mev_per_atom=250 pbc="T T T"
Ba 1.829 9.582 0.000
Ba 2.341 5.412 1.895
Ba 4.900 1.829 0.000
Ba 5.412 12.141 1.895
Ba 9.070 2.341 1.895
Ba 9.582 12.654 0.000
Ba 12.141 9.070 1.895
Ba 12.654 4.900 0.000
La 0.872 2.025 0.000
La 2.025 13.610 0.000
La 5.216 8.113 1.895
La 6.369 5.216 1.895
La 8.113 9.266 1.895
La 9.266 6.369 1.895
La 12.458 0.872 0.000
La 13.610 12.458 0.000

=====

16
Lattice="7.612 0.000 0.000 0.000 7.612 0.000 0.000 0.000 7.612" Properties=species:S:1:pos:R:3 comment="BaTl2N PBE relaxed" sg="No. 225" dos_ef_per_ev_fu=2.66 mass_density_kg_m3=8435 m_tot_mub_per_cell=0.00 de_polymorph_mev_per_atom=560 e_form_raw_ev_per_atom=0.80 pbc="T T T"
Ba 0.000 0.000 0.000
Ba 0.000 3.806 3.806
Ba 3.806 0.000 3.806
Ba 3.806 3.806 0.000
Tl 1.903 1.903 1.903
Tl 1.903 1.903 5.709
Tl 1.903 5.709 1.903
Tl 1.903 5.709 5.709
Tl 5.709 1.903 1.903
Tl 5.709 1.903 5.709
Tl 5.709 5.709 1.903
Tl 5.709 5.709 5.709
N 0.000 0.000 3.806
N 0.000 3.806 0.000
N 3.806 0.000 0.000
N 3.806 3.806 3.806

=====

12
Lattice="3.705 0.000 0.000 -1.853 3.209 0.000 0.000 0.000 25.051" Properties=species:S:1:pos:R:3 comment="Sm2GaRu PBE relaxed" sg="No. 166" formation_enthalpy_0k_mev_per_atom=-169 dos_ef_per_ev_fu=3.02 mass_density_kg_m3=7887 m_tot_mub_per_cell=0.00 pbc="T T T"
Sm 0.000 0.000 6.060
Sm 0.000 0.000 18.992
Sm 0.000 2.139 10.641
Sm 0.000 2.139 22.761
Sm 1.853 1.070 2.291
Sm 1.853 1.070 14.410
Ga 0.000 0.000 0.000
Ga 0.000 2.139 16.701
Ga 1.853 1.070 8.350
Ru 0.000 0.000 12.526
Ru 0.000 2.139 4.175
Ru 1.853 1.070 20.876

=====

8
Lattice="6.983 0.000 0.000 0.000 4.041 0.000 -2.326 0.000 5.416" Properties=species:S:1:pos:R:3 comment="SrBe2Pt PBE relaxed" sg="No. 8" formation_enthalpy_0k_mev_per_atom=-477 dos_ef_per_ev_fu=3.09 mass_density_kg_m3=6536 m_tot_mub_per_cell=0.00 de_polymorph_mev_per_atom=29 pbc="T T T"
Sr 0.000 0.000 0.000
Sr 3.492 2.020 0.000
Be -1.162 2.020 2.883
Be 1.162 2.020 2.580
Be 2.329 0.000 2.883
Be 4.653 0.000 2.580
Pt 0.000 0.000 3.025
Pt 3.492 2.020 3.025

=====

5
Lattice="6.461 0.000 0.000 0.000 6.461 0.000 0.000 0.000 4.458" Properties=species:S:1:pos:R:3 comment="Rb2ReHgCl PBE relaxed" sg="No. 123" dos_ef_per_ev_fu=3.45 mass_density_kg_m3=5292 m_tot_mub_per_cell=1.53 e_form_raw_ev_per_atom=0.50 pbc="T T T"
Rb 0.000 3.231 0.000
Rb 3.231 0.000 0.000
Re 0.000 0.000 2.229
Hg 3.231 3.231 2.229
Cl 0.000 0.000 0.000